A geometry-optimized Ga3TePt structure, computed with PBE.

formation energy (no corrections)	-0.33	eV per atom
M_tot	0.0	μB per formula unit
E above lowest polymorph	0.000	eV/atom
final energy	-3.98	eV per atom
calculated volume	119.3	Å³ per cell

Unit cell a=4.923 b=4.923 c=4.923 alpha=90.00 beta=90.00 gamma=90.00
Fractional coordinates of all 5 atoms:
Ga 0.000 0.000 0.500
Ga 0.000 0.500 0.000
Ga 0.500 0.000 0.000
Te 0.500 0.500 0.500
Pt 0.000 0.000 0.000



A geometry-optimized Na2ZnNiPb structure, computed with PBE.

M_tot	0.0	μB per formula unit
final energy	-2.30	eV per atom
energy of formation	385	meV/atom
calculated volume	127.1	Å³ per cell

Unit cell a=5.294 b=5.294 c=4.534 alpha=90.00 beta=90.00 gamma=90.00
Fractional coordinates of all 5 atoms:
Na 0.000 0.500 0.000
Na 0.500 0.000 0.000
Zn 0.000 0.000 0.000
Ni 0.000 0.000 0.500
Pb 0.500 0.500 0.500



A geometry-optimized Hf2ScTaN structure, computed with PBE.

formation energy (no corrections)	-0.64	eV per atom
M_tot	0.0	μB per formula unit
E above lowest polymorph	0.000	eV/atom
final energy	-9.92	eV per atom
calculated volume	87.7	Å³ per cell

Unit cell a=4.468 b=4.468 c=4.394 alpha=90.00 beta=90.00 gamma=90.00
Fractional coordinates of all 5 atoms:
Hf 0.000 0.500 0.000
Hf 0.500 0.000 0.000
Sc 0.000 0.000 0.500
Ta 0.500 0.500 0.500
N 0.000 0.000 0.000



A geometry-optimized SrPtPbO6 structure, computed with PBE.

formation energy (no corrections)	-1.08	eV per atom
M_tot	2.0	μB per formula unit
final energy	-5.66	eV per atom
calculated volume	284.5	Å³ per cell

Unit cell a=5.577 b=5.577 c=10.562 alpha=90.00 beta=90.00 gamma=120.00
Fractional coordinates of all 18 atoms:
Sr 0.000 0.000 0.000
Sr 0.000 0.000 0.500
Pt 0.333 0.667 0.250
Pt 0.667 0.333 0.750
Pb 0.333 0.667 0.750
Pb 0.667 0.333 0.250
O 0.033 0.383 0.144
O 0.033 0.650 0.356
O 0.350 0.383 0.356
O 0.350 0.967 0.144
O 0.383 0.033 0.644
O 0.383 0.350 0.856
O 0.617 0.650 0.144
O 0.617 0.967 0.356
O 0.650 0.033 0.856
O 0.650 0.617 0.644
O 0.967 0.350 0.644
O 0.967 0.617 0.856



A geometry-optimized LiMgNbTc structure, computed with PBE.

M_tot	0.0	μB per formula unit
E above lowest polymorph	0.014	eV/atom
final energy	-5.88	eV per atom
energy of formation	109	meV/atom
calculated volume	65.1	Å³ per cell

Unit cell a=3.289 b=4.131 c=4.794 alpha=90.00 beta=90.00 gamma=90.00
Fractional coordinates of all 4 atoms:
Li 0.000 0.000 0.000
Mg 0.500 0.500 0.000
Nb 0.500 0.000 0.500
Tc 0.000 0.500 0.500



A geometry-optimized PuSiHRu2 structure, computed with PBE.

M_tot	4.6	μB per formula unit
final energy	-8.70	eV per atom
calculated volume	138.2	Å³ per cell

Unit cell a=6.144 b=6.144 c=7.464 alpha=90.00 beta=90.00 gamma=150.63
Fractional coordinates of all 10 atoms:
Pu 0.029 0.971 0.750
Pu 0.971 0.029 0.250
Si 0.244 0.756 0.250
Si 0.756 0.244 0.750
H 0.500 0.500 0.000
H 0.500 0.500 0.500
Ru 0.346 0.654 0.544
Ru 0.346 0.654 0.956
Ru 0.654 0.346 0.044
Ru 0.654 0.346 0.456



A geometry-optimized Be2AuSe structure, computed with PBE.

formation energy (no corrections)	-0.11	eV per atom
M_tot	0.0	μB per formula unit
final energy	-3.66	eV per atom
calculated volume	62.9	Å³ per cell

Unit cell a=6.260 b=6.260 c=3.294 alpha=104.96 beta=104.96 gamma=30.40
Fractional coordinates of all 4 atoms:
Be 0.000 0.000 0.000
Be 0.632 0.632 0.574
Au 0.436 0.436 0.436
Se 0.196 0.196 0.221



A geometry-optimized PrNdPuN3 structure, computed with PBE.

formation energy (no corrections)	-1.07	eV per atom
M_tot	4.9	μB per formula unit
final energy	-9.21	eV per atom
calculated volume	251.5	Å³ per cell

Unit cell a=7.324 b=3.669 c=10.007 alpha=90.00 beta=110.75 gamma=90.00
Fractional coordinates of all 12 atoms:
Pr 0.079 0.250 0.379
Pr 0.921 0.750 0.621
Nd 0.461 0.750 0.646
Nd 0.539 0.250 0.354
Pu 0.297 0.250 0.896
Pu 0.703 0.750 0.104
N 0.195 0.250 0.641
N 0.312 0.750 0.387
N 0.461 0.750 0.893
N 0.539 0.250 0.107
N 0.688 0.250 0.613
N 0.805 0.750 0.359